*a*
BaLiRu | the Alexandria database | PBE-GGA | optimized geometry; magnetization = 0.00 μB/f.u.; N(E_F) = 0.6579 states/eV/atom
1.0
5.9643 -2.1908 0.0000
5.9643 2.1908 0.0000
-1.0149 0.0000 6.2732
Ba Li Ru
2 2 2
direct
0.0000 0.0000 0.0000
0.2280 0.2280 0.6379
0.5201 0.5201 0.3999
0.8854 0.8854 0.4259
0.3001 0.3001 0.1721
0.7174 0.7174 0.1452

=====

*b*
BaLiRu | the Alexandria database | PBE-GGA | optimized geometry; magnetization = 0.00 μB/f.u.; N(E_F) = 0.7519 states/eV/atom
1.0
6.0954 -2.1729 0.0000
6.0954 2.1729 0.0000
-0.3487 0.0000 6.0034
Ba Li Ru
2 2 2
direct
0.0000 0.0000 0.0000
0.6057 0.6057 0.4947
0.3117 0.3117 0.7447
0.7499 0.7499 0.0512
0.3283 0.3283 0.2974
0.8692 0.8692 0.4476

=====

Most stable to least stable, the ends of the list are *b* and *a*.

=====

*a*
BaLiRu | the Alexandria database | PBE-GGA | optimized geometry; magnetization = 0.00 μB/f.u.; N(E_F) = 0.7658 states/eV/atom
1.0
6.4120 -2.1409 0.0000
6.4120 2.1409 0.0000
-2.5036 0.0000 6.2355
Ba Li Ru
2 2 2
direct
0.0000 0.0000 0.0000
0.6580 0.6580 0.6307
0.3135 0.3135 0.4575
0.9142 0.9142 0.3906
0.2869 0.2869 0.0665
0.7245 0.7245 0.1289

=====

*b*
BaLiRu | the Alexandria database | PBE-GGA | optimized geometry; magnetization = 0.00 μB/f.u.; N(E_F) = 0.5435 states/eV/atom
1.0
5.9963 -2.1910 0.0000
5.9963 2.1910 0.0000
-5.2134 0.0000 6.1495
Ba Li Ru
2 2 2
direct
0.0000 0.0000 0.0000
0.1163 0.1163 0.6568
0.3502 0.3502 0.4651
0.6848 0.6848 0.3889
0.3842 0.3842 0.1927
0.7950 0.7950 0.1709

=====

*c*
BaLiRu | the Alexandria database | PBE-GGA | optimized geometry; magnetization = 0.00 μB/f.u.; N(E_F) = 0.7277 states/eV/atom
1.0
-1.7815 1.7815 5.2710
1.7815 -1.7815 5.2710
1.7815 1.7815 -5.2710
Ba Li Ru
1 1 1
direct
0.0000 0.0000 0.0000
0.7204 0.7204 0.0000
0.3040 0.3040 0.0000

=====

*d*
BaLiRu | the Alexandria database | PBE-GGA | optimized geometry; magnetization = 0.47 μB/f.u.; N(E_F) = 0.8856 states/eV/atom
1.0
4.8253 0.0000 0.0000
-2.4127 4.1789 0.0000
0.0000 0.0000 3.4727
Ba Li Ru
1 1 1
direct
0.0000 0.0000 0.0000
0.6667 0.3333 0.5021
0.3333 0.6667 0.4930

=====

Most stable to least stable, the ends of the list are *b* and *d*.

=====

*a*
BaLiRu | the Alexandria database | PBE-GGA | optimized geometry; magnetization = 0.00 μB/f.u.; N(E_F) = 0.6901 states/eV/atom
1.0
5.0536 0.0000 0.0000
0.0000 4.3532 0.0000
-1.0264 0.0000 8.8842
Ba Li Ru
2 2 2
direct
0.2162 0.2500 0.2964
0.7838 0.7500 0.7036
0.3728 0.2500 0.9034
0.6272 0.7500 0.0966
0.0987 0.7500 0.0073
0.9013 0.2500 0.9927

=====

*b*
BaLiRu | the Alexandria database | PBE-GGA | optimized geometry; magnetization = 0.78 μB/f.u.; N(E_F) = 2.0902 states/eV/atom
1.0
0.0000 3.4326 3.4326
3.4326 0.0000 3.4326
3.4326 3.4326 0.0000
Ba Li Ru
1 1 1
direct
0.0000 0.0000 0.0000
0.7500 0.7500 0.7500
0.2500 0.2500 0.2500

=====

Most stable to least stable, the ends of the list are *a* and *b*.

=====

*a*
BaLiS | the Alexandria database | PBE-GGA | optimized geometry; magnetization = 0.00 μB/f.u.; N(E_F) = 0.4189 states/eV/atom
1.0
4.0897 0.0000 0.0000
0.0000 4.0897 0.0000
0.0000 0.0000 9.9859
Ba Li S
2 2 2
direct
0.2500 0.2500 0.1969
0.7500 0.7500 0.8031
0.2500 0.7500 0.5000
0.7500 0.2500 0.5000
0.2500 0.2500 0.6413
0.7500 0.7500 0.3587

=====

*b*
BaLiS | the Alexandria database | PBE-GGA | optimized geometry; magnetization = 0.96 μB/f.u.; N(E_F) = 0.0711 states/eV/atom
1.0
4.2684 0.0000 0.0000
-2.1342 3.6965 0.0000
0.0000 0.0000 4.7614
Ba Li S
1 1 1
direct
0.0000 0.0000 0.0000
0.6667 0.3333 0.5000
0.3333 0.6667 0.5000

=====

Most stable to least stable, the ends of the list are *a* and *b*.

=====

*a*
Ba2LiS2 | the Alexandria database | PBE-GGA | optimized geometry; magnetization = 0.92 μB/f.u.; N(E_F) = 0.1083 states/eV/atom
1.0
8.3072 0.0000 0.0000
0.0000 8.3072 0.0000
0.0000 0.0000 4.2553
Ba Li S
4 2 4
direct
0.1523 0.3477 0.0000
0.3477 0.8477 0.0000
0.6523 0.1523 0.0000
0.8477 0.6523 0.0000
0.0000 0.0000 0.5000
0.5000 0.5000 0.5000
0.1590 0.6590 0.5000
0.3410 0.1590 0.5000
0.6590 0.8410 0.5000
0.8410 0.3410 0.5000

=====

*b*
Ba2LiS2 | the Alexandria database | PBE-GGA | optimized geometry; magnetization = 0.00 μB/f.u.; N(E_F) = 0.4680 states/eV/atom
1.0
-2.9174 2.9174 6.2945
2.9174 -2.9174 6.2945
2.9174 2.9174 -6.2945
Ba Li S
2 1 2
direct
0.1803 0.1803 0.0000
0.8197 0.8197 0.0000
0.5000 0.5000 0.0000
0.2500 0.7500 0.5000
0.7500 0.2500 0.5000

=====

Most stable to least stable, the ends of the list are *a* and *b*.

=====

*a*
BaLiZnS2 | the Alexandria database | PBE-GGA | optimized geometry; magnetization = 0.37 μB/f.u.; N(E_F) = 0.5993 states/eV/atom
1.0
6.8156 0.0000 0.0000
0.0000 4.8890 0.0000
-0.8920 0.0000 7.5249
Ba Li Zn S
2 2 2 4
direct
0.0000 0.1990 0.2500
0.0000 0.8010 0.7500
0.5000 0.4969 0.2500
0.5000 0.5031 0.7500
0.5000 0.0000 0.0000
0.5000 0.0000 0.5000
0.2581 0.3118 0.9375
0.2581 0.6882 0.4375
0.7419 0.3118 0.5625
0.7419 0.6882 0.0625

=====

*b*
BaLiZnS2 | the Alexandria database | PBE-GGA | optimized geometry; magnetization = 1.00 μB/f.u.; N(E_F) = 0.4128 states/eV/atom
1.0
5.9221 0.0000 0.0000
0.0000 5.9221 0.0000
0.0000 0.0000 6.1669
Ba Li Zn S
1 1 1 2
direct
0.0000 0.0000 0.0000
0.5000 0.5000 0.5000
0.0000 0.0000 0.5000
0.0000 0.5000 0.0000
0.5000 0.0000 0.0000

=====

Most stable to least stable, the ends of the list are *a* and *b*.

=====

*a*
Ba2Li2Sb | the Alexandria database | PBE-GGA | optimized geometry; magnetization = 0.00 μB/f.u.; N(E_F) = 0.8094 states/eV/atom
1.0
-2.1707 2.1707 10.3260
2.1707 -2.1707 10.3260
2.1707 2.1707 -10.3260
Ba Li Sb
2 2 1
direct
0.0881 0.0881 0.0000
0.9119 0.9119 0.0000
0.2500 0.7500 0.5000
0.7500 0.2500 0.5000
0.5000 0.5000 0.0000

=====

*b*
Ba2Li2Sb | the Alexandria database | PBE-GGA | optimized geometry; magnetization = 0.00 μB/f.u.; N(E_F) = 1.0880 states/eV/atom
1.0
7.8029 0.0000 0.0000
0.0000 7.8029 0.0000
0.0000 0.0000 5.2943
Ba Li Sb
4 4 2
direct
0.1944 0.3056 0.0000
0.3056 0.8056 0.0000
0.6944 0.1944 0.0000
0.8056 0.6944 0.0000
0.1282 0.6282 0.5000
0.3718 0.1282 0.5000
0.6282 0.8718 0.5000
0.8718 0.3718 0.5000
0.0000 0.0000 0.5000
0.5000 0.5000 0.5000

=====

Most stable to least stable, the ends of the list are *b* and *a*.

=====

*a*
BaLiSbTe2 | the Alexandria database | PBE-GGA | optimized geometry; magnetization = 1.57 μB/f.u.; N(E_F) = 1.4972 states/eV/atom
1.0
6.5294 0.0000 0.0000
0.0000 6.5294 0.0000
0.0000 0.0000 6.4520
Ba Li Sb Te
1 1 1 2
direct
0.0000 0.0000 0.0000
0.5000 0.5000 0.5000
0.0000 0.0000 0.5000
0.0000 0.5000 0.0000
0.5000 0.0000 0.0000

=====

*b*
BaLiSbTe2 | the Alexandria database | PBE-GGA | optimized geometry; magnetization = 0.00 μB/f.u.; N(E_F) = 0.7705 states/eV/atom
1.0
5.5586 0.0000 0.0000
0.0000 5.5586 0.0000
0.0000 0.0000 4.9929
Ba Li Sb Te
1 1 1 2
direct
0.0000 0.0000 0.0000
0.5000 0.5000 0.5000
0.5000 0.5000 0.0000
0.0000 0.5000 0.5000
0.5000 0.0000 0.5000

=====

Most stable to least stable, the ends of the list are *b* and *a*.

=====

*a*
BaLiSc2 | the Alexandria database | PBE-GGA | optimized geometry; magnetization = 0.05 μB/f.u.; N(E_F) = 1.8928 states/eV/atom
1.0
6.4936 -1.7833 0.0000
6.4936 1.7833 0.0000
-2.3862 0.0000 5.0367
Ba Li Sc
1 1 2
direct
0.0000 0.0000 0.0000
0.5000 0.5000 0.5000
0.2217 0.2217 0.7218
0.7783 0.7783 0.2782

=====

*b*
BaLiSc2 | the Alexandria database | PBE-GGA | optimized geometry; magnetization = 0.00 μB/f.u.; N(E_F) = 1.5003 states/eV/atom
1.0
3.7151 0.0000 0.0000
0.0000 5.4815 0.0000
0.0000 0.0000 5.8120
Ba Li Sc
1 1 2
direct
0.0000 0.0000 0.0000
0.5000 0.5000 0.0000
0.0000 0.5000 0.5000
0.5000 0.0000 0.5000

=====

Most stable to least stable, the ends of the list are *a* and *b*.

=====

*a*
BaLiSc2 | the Alexandria database | PBE-GGA | optimized geometry; magnetization = 0.83 μB/f.u.; N(E_F) = 1.3679 states/eV/atom
1.0
4.6342 0.0000 0.0000
0.0000 4.6342 0.0000
0.0000 0.0000 5.6795
Ba Li Sc
1 1 2
direct
0.0000 0.0000 0.0000
0.5000 0.5000 0.0000
0.0000 0.5000 0.5000
0.5000 0.0000 0.5000

=====

*b*
BaLiSc2 | the Alexandria database | PBE-GGA | optimized geometry; magnetization = 0.66 μB/f.u.; N(E_F) = 1.7592 states/eV/atom
1.0
3.6365 0.0000 0.0000
0.0000 3.6365 0.0000
0.0000 0.0000 8.9642
Ba Li Sc
1 1 2
direct
0.0000 0.0000 0.0000
0.0000 0.0000 0.5000
0.5000 0.5000 0.3258
0.5000 0.5000 0.6742

=====

*c*
BaLiSc2 | the Alexandria database | PBE-GGA | optimized geometry; magnetization = 1.22 μB/f.u.; N(E_F) = 1.4748 states/eV/atom
1.0
3.4631 0.0000 0.0000
0.0000 5.7545 0.0000
-1.0871 0.0000 6.0126
Ba Li Sc
1 1 2
direct
0.0000 0.0000 0.0000
0.5000 0.0000 0.5000
0.3149 0.5000 0.7218
0.6851 0.5000 0.2782

=====

Most stable to least stable, the ends of the list are *b* and *a*.

=====

*a*
BaLiSc2 | the Alexandria database | PBE-GGA | optimized geometry; magnetization = 1.82 μB/f.u.; N(E_F) = 1.8806 states/eV/atom
1.0
-2.7128 2.7128 10.9969
2.7128 -2.7128 10.9969
2.7128 2.7128 -10.9969
Ba Li Sc
2 2 4
direct
0.3750 0.6250 0.7500
0.6250 0.3750 0.2500
0.1250 0.8750 0.2500
0.8750 0.1250 0.7500
0.0000 0.0000 0.0000
0.0000 0.0000 0.5000
0.0000 0.5000 0.0000
0.5000 0.0000 0.5000

=====

*b*
BaLiSc2 | the Alexandria database | PBE-GGA | optimized geometry; magnetization = 0.40 μB/f.u.; N(E_F) = 1.6513 states/eV/atom
1.0
5.7984 -1.7742 0.0000
5.7984 1.7742 0.0000
-1.6624 0.0000 5.8107
Ba Li Sc
1 1 2
direct
0.0000 0.0000 0.0000
0.7534 0.7534 0.1903
0.2084 0.2084 0.6183
0.4681 0.4681 0.4909

=====

Most stable to least stable, the ends of the list are *b* and *a*.